A plane-wave DFT calculation with PBE-GGA was carried out for a relaxed ZnSnS2I crystal.

Electronic total energy = -14.679 eV for the cell shown

The structure in CIF format:
```
data_ZnSnS2I
_chemical_formula_sum 'Zn1 Sn1 S2 I1'
_symmetry_space_group_name_H-M 'P 4/m m m'
_symmetry_Int_Tables_number 123
_symmetry_space_group_name_Hall '-P 4 2'
_cell_length_a 4.719
_cell_length_b 4.719
_cell_length_c 5.691
_cell_angle_alpha 90.00
_cell_angle_beta 90.00
_cell_angle_gamma 90.00
loop_
_atom_site_label
_atom_site_type_symbol
_atom_site_fract_x
_atom_site_fract_y
_atom_site_fract_z
Zn1 Zn 0.000 0.000 0.000
Sn1 Sn 0.500 0.500 0.500
S1 S 0.000 0.500 0.000
I1 I 0.000 0.000 0.500
```